[1]
VASP calculation (PBE-GGA) on a relaxed structure of SrGaCuPd.

Total moment, μB per formula unit: 0.0
Formation energy from the elements, eV per atom: -0.49

a = 7.5867 Å, b = 4.3828 Å, c = 5.9084 Å
α = 90.00°, β = 115.24°, γ = 90.00°
Space group Cm (No. 8)
Symmetry-distinct sites (fractional):
Sr 0.0000 0.0000 0.0000
Ga 0.4954 0.0000 0.4861
Cu 0.1913 0.0000 0.5734
Pd 0.3059 0.5000 0.4173

---

[2]
VASP calculation (PBE-GGA) on a relaxed structure of Ga2CoB2.

Total moment, μB per formula unit: 0.0
Formation energy from the elements, eV per atom: 0.25

a = 5.5337 Å, b = 5.5337 Å, c = 3.3861 Å
α = 90.00°, β = 90.00°, γ = 90.00°
Space group P4/mbm (No. 127)
Symmetry-distinct sites (fractional):
Ga 0.1960 0.3040 0.0000
Co 0.0000 0.0000 0.5000
B 0.1089 0.6089 0.5000

---

[3]
VASP calculation (PBE-GGA) on a relaxed structure of ErScTiGa.

Total moment, μB per formula unit: 2.8
Formation energy from the elements, eV per atom: -0.15

a = 6.9984 Å, b = 6.9984 Å, c = 6.9984 Å
α = 90.00°, β = 90.00°, γ = 90.00°
Space group F-43m (No. 216)
Symmetry-distinct sites (fractional):
Er 0.0000 0.0000 0.0000
Sc 0.0000 0.0000 0.5000
Ti 0.2500 0.2500 0.7500
Ga 0.2500 0.2500 0.2500

---

[4]
VASP calculation (PBE-GGA) on a relaxed structure of Li2LaAg9.

Total moment, μB per formula unit: 0.0
Formation energy from the elements, eV per atom: -0.15

a = 11.1897 Å, b = 11.1897 Å, c = 7.3514 Å
α = 90.00°, β = 90.00°, γ = 90.00°
Space group I4_1/amd (No. 141, origin choice 2)
Symmetry-distinct sites (fractional):
Li 0.0000 0.0000 0.0000
La 0.0000 0.2500 0.3750
Ag 0.0000 0.2500 0.8750
Ag 0.1226 0.0495 0.6825

---

[5]
VASP calculation (PBE-GGA) on a relaxed structure of MnCo2Cu2.

Total moment, μB per formula unit: 7.3
ΔE to the lowest computed polymorph, kJ/mol of formula units: 0
Formation energy from the elements, eV per atom: 0.38

a = 3.3087 Å, b = 3.3087 Å, c = 11.9985 Å
α = 90.00°, β = 90.00°, γ = 90.00°
Space group I4/mmm (No. 139)
Symmetry-distinct sites (fractional):
Mn 0.0000 0.0000 0.0000
Co 0.0000 0.5000 0.2500
Cu 0.0000 0.0000 0.4018

---

[6]
VASP calculation (PBE-GGA) on a relaxed structure of LiCaOs2.

Total moment, μB per formula unit: 0.0
ΔE to the lowest computed polymorph, kJ/mol of formula units: 0
Formation energy from the elements, eV per atom: 0.32

a = 2.8199 Å, b = 4.1689 Å, c = 5.9290 Å
α = 90.00°, β = 102.99°, γ = 90.00°
Space group Pm (No. 6)
Symmetry-distinct sites (fractional):
Li 0.0000 0.0000 0.0000
Ca 0.4453 0.5000 0.7400
Os 0.3042 0.5000 0.2545
Os 0.8013 0.0000 0.4003

---

[7]
VASP calculation (PBE-GGA) on a relaxed structure of CeTaMnC3.

Total moment, μB per formula unit: 0.0
Formation energy from the elements, eV per atom: -0.15

a = 6.9952 Å, b = 3.2974 Å, c = 7.4184 Å
α = 90.00°, β = 103.81°, γ = 90.00°
Space group P2_1/m (No. 11)
Symmetry-distinct sites (fractional):
Ce 0.1859 0.2500 0.1995
Ta 0.3498 0.7500 0.8564
Mn 0.0939 0.2500 0.6058
C 0.1223 0.2500 0.8591
C 0.1739 0.7500 0.5334
C 0.4366 0.7500 0.1533

---

[8]
VASP calculation (PBE-GGA) on a relaxed structure of CrFe2CuMo.

Total moment, μB per formula unit: 4.0
Formation energy from the elements, eV per atom: 1.26

a = 4.2299 Å, b = 4.2299 Å, c = 4.4372 Å
α = 90.00°, β = 90.00°, γ = 90.00°
Space group P4/mmm (No. 123)
Symmetry-distinct sites (fractional):
Cr 0.0000 0.0000 0.0000
Fe 0.0000 0.5000 0.0000
Cu 0.5000 0.5000 0.5000
Mo 0.0000 0.0000 0.5000

---

[9]
VASP calculation (PBE-GGA) on a relaxed structure of Pm3Ag2Pd8.

Total moment, μB per formula unit: 0.0
Formation energy from the elements, eV per atom: -0.43

a = 5.3750 Å, b = 5.3750 Å, c = 31.3372 Å
α = 90.00°, β = 90.00°, γ = 120.00°
Space group R-3m (No. 166, hexagonal axes)
Symmetry-distinct sites (fractional):
Pm 0.0000 0.0000 0.0000
Pm 0.0000 0.0000 0.1894
Ag 0.0000 0.0000 0.3619
Pd 0.0000 0.0000 0.2784
Pd 0.0030 0.5015 0.7673

---

[10]
VASP calculation (PBE-GGA) on a relaxed structure of Bi2TePb2.

Formation energy without anion corrections, meV per atom: 84
Total moment, μB per formula unit: 0.0
ΔE to the lowest computed polymorph, kJ/mol of formula units: 48

a = 8.6872 Å, b = 8.6872 Å, c = 4.4471 Å
α = 90.00°, β = 90.00°, γ = 90.00°
Space group P4/mbm (No. 127)
Symmetry-distinct sites (fractional):
Bi 0.1469 0.3531 0.0000
Te 0.0000 0.0000 0.0000
Pb 0.1470 0.6470 0.5000

---

[11]
VASP calculation (PBE-GGA) on a relaxed structure of ZrAl2Te.

Formation energy without anion corrections, meV per atom: 83
Total moment, μB per formula unit: 0.0

a = 7.8497 Å, b = 7.8497 Å, c = 5.8377 Å
α = 90.00°, β = 90.00°, γ = 90.00°
Space group I-42d (No. 122)
Symmetry-distinct sites (fractional):
Zr 0.0000 0.0000 0.0000
Al 0.2445 0.2500 0.6250
Te 0.0000 0.0000 0.5000

---

[12]
VASP calculation (PBE-GGA) on a relaxed structure of Tb3HoAu.

Total moment, μB per formula unit: 0.0
Formation energy from the elements, eV per atom: -0.27

a = 5.2070 Å, b = 8.3303 Å, c = 6.7585 Å
α = 90.00°, β = 90.00°, γ = 90.00°
Space group Pmmn (No. 59, origin choice 2)
Symmetry-distinct sites (fractional):
Tb 0.2500 0.0479 0.2058
Tb 0.2500 0.2500 0.7189
Ho 0.2500 0.7500 0.5807
Au 0.2500 0.7500 0.9984

---

What are the calculated volume values for these records? In order: 22.2 10.4 21.4 19.2 13.1 17.0 13.8 15.9 20.1 33.6 22.5 29.3 Å³ per atom.